Entry 1:
First-principles (GGA-PBE) data for a relaxed structure of PrPuAg2, as listed in Alexandria via LeMat-Bulk.

Computed properties:
Formation enthalpy at 0 K (eV/atom): -0.04
E (eV/atom): -6.2387
Calculated volume (Å³/atom): 26.076
Excess energy over the best structure of this formula in the dataset (meV/atom): 18

a b c (Å): 5.2837 5.2837 5.2837
angles (deg): 60.00 60.00 60.00
Last column: nearest neighbours and their distance in Å.
Atoms (fractional coordinates):
Pr 0.5000 0.5000 0.5000  8 Ag 3.24
Ag 0.2500 0.2500 0.2500  4 Pr 3.24, 4 Pu 3.24
Ag 0.7500 0.7500 0.7500  4 Pr 3.24, 4 Pu 3.24
Pu 0.0000 0.0000 0.0000  8 Ag 3.24

---

Entry 2:
First-principles (GGA-PBE) data for a relaxed structure of PrPuAg2, as listed in Alexandria via LeMat-Bulk.

Computed properties:
Formation enthalpy at 0 K (eV/atom): -0.05
E (eV/atom): -6.2572
Calculated volume (Å³/atom): 25.818
Excess energy over the best structure of this formula in the dataset (meV/atom): 0

a b c (Å): 3.4168 5.4977 5.4977
angles (deg): 90.00 90.00 90.00
Last column: nearest neighbours and their distance in Å.
Atoms (fractional coordinates):
Pr 0.5000 0.0000 0.0000  8 Ag 3.24, 2 Pr 3.42
Ag 0.0000 0.0000 0.5000  4 Pr 3.24, 4 Pu 3.24, 2 Ag 3.42
Ag 0.0000 0.5000 0.0000  4 Pr 3.24, 4 Pu 3.24, 2 Ag 3.42
Pu 0.5000 0.5000 0.5000  8 Ag 3.24, 2 Pu 3.42

---

Entry 3:
First-principles (GGA-PBE) data for a relaxed structure of PrPuAg, as listed in Alexandria via LeMat-Bulk.

Computed properties:
Formation enthalpy at 0 K (eV/atom): 0.07
E (eV/atom): -7.2501
Calculated volume (Å³/atom): 28.138
Excess energy over the best structure of this formula in the dataset (meV/atom): 0

a b c (Å): 3.6609 3.6609 6.8099
angles (deg): 105.59 105.59 90.00
Last column: nearest neighbours and their distance in Å.
Atoms (fractional coordinates):
Pr 0.3181 0.3181 0.6362  4 Ag 3.23, 4 Pu 3.60
Ag 0.6650 0.6650 0.3299  4 Pu 3.19, 4 Pr 3.23
Pu 0.0169 0.0169 0.0339  4 Ag 3.19

---

Entry 4:
First-principles (GGA-PBE) data for a relaxed structure of PrPuAg, as listed in Alexandria via LeMat-Bulk.

Computed properties:
Formation enthalpy at 0 K (eV/atom): 0.24
E (eV/atom): -7.0813
Calculated volume (Å³/atom): 24.179
Excess energy over the best structure of this formula in the dataset (meV/atom): 169

a b c (Å): 3.3504 3.3626 12.9857
angles (deg): 90.00 97.41 90.00
Last column: nearest neighbours and their distance in Å.
Atoms (fractional coordinates):
Ag 0.4558 0.2500 0.9117  2 Ag 2.83
Ag 0.5442 0.7500 0.0883  2 Ag 2.83
Pr 0.8713 0.7500 0.7426  4 Ag 3.22, 2 Pu 3.24, 4 Pr 3.35-3.36
Pr 0.1287 0.2500 0.2574  4 Ag 3.22, 2 Pu 3.24, 4 Pr 3.35-3.36
Pu 0.7635 0.2500 0.5271  4 Pu 2.47
Pu 0.2365 0.7500 0.4729  4 Pu 2.47

---

Entry 5:
First-principles (GGA-PBE) data for a relaxed structure of PrPuAg4, as listed in Alexandria via LeMat-Bulk.

Computed properties:
Formation enthalpy at 0 K (eV/atom): -0.05
E (eV/atom): -5.1311
Calculated volume (Å³/atom): 22.639
Excess energy over the best structure of this formula in the dataset (meV/atom): 81

a b c (Å): 5.7699 5.7699 5.7699
angles (deg): 60.00 60.00 60.00
Last column: nearest neighbours and their distance in Å.
Atoms (fractional coordinates):
Pr 0.0000 0.0000 0.0000  12 Ag 3.38, 4 Pu 3.53
Ag 0.6248 0.6248 0.1257  6 Ag 2.88-2.89
Ag 0.6248 0.1257 0.6248  6 Ag 2.88-2.89
Ag 0.6248 0.6248 0.6248  6 Ag 2.88-2.89
Ag 0.1257 0.6248 0.6248  6 Ag 2.88-2.89
Pu 0.2500 0.2500 0.2500  12 Ag 3.38, 4 Pr 3.53

---

Entry 6:
First-principles (GGA-PBE) data for a relaxed structure of PrPuAg2, as listed in Alexandria via LeMat-Bulk.

Computed properties:
Formation enthalpy at 0 K (eV/atom): 0.14
E (eV/atom): -6.0655
Calculated volume (Å³/atom): 25.395
Excess energy over the best structure of this formula in the dataset (meV/atom): 192

a b c (Å): 3.3607 3.3607 10.5653
angles (deg): 80.85 80.85 60.00
Last column: nearest neighbours and their distance in Å.
Atoms (fractional coordinates):
Pr 0.5000 0.5000 0.5000  6 Ag 3.27, 6 Pr 3.36
Ag 0.2513 0.2513 0.2462  3 Pu 3.21, 3 Pr 3.27, 6 Ag 3.36
Ag 0.7487 0.7487 0.7538  3 Pu 3.21, 3 Pr 3.27, 6 Ag 3.36
Pu 0.0000 0.0000 0.0000  6 Ag 3.21, 6 Pu 3.36

---

Entry 7:
First-principles (GGA-PBE) data for a relaxed structure of Pr2PuAg, as listed in Alexandria via LeMat-Bulk.

Computed properties:
Formation enthalpy at 0 K (eV/atom): 0.00
E (eV/atom): -6.6817
Calculated volume (Å³/atom): 29.417
Excess energy over the best structure of this formula in the dataset (meV/atom): 0

a b c (Å): 3.6661 3.6661 8.7546
angles (deg): 90.00 90.00 90.00
Last column: nearest neighbours and their distance in Å.
Atoms (fractional coordinates):
Pr 0.0000 0.0000 0.7756  4 Ag 3.25, 4 Pu 3.54
Pr 0.0000 0.0000 0.2244  4 Ag 3.25, 4 Pu 3.54
Ag 0.5000 0.5000 0.0000  8 Pr 3.25
Pu 0.5000 0.5000 0.5000  8 Pr 3.54, 4 Pu 3.67

---

Entry 8:
First-principles (GGA-PBE) data for a relaxed structure of PrPuAg4, as listed in Alexandria via LeMat-Bulk.

Computed properties:
Formation enthalpy at 0 K (eV/atom): -0.13
E (eV/atom): -5.2122
Calculated volume (Å³/atom): 22.914
Excess energy over the best structure of this formula in the dataset (meV/atom): 0

a b c (Å): 3.2677 4.9306 8.5334
angles (deg): 90.00 90.00 90.00
Last column: nearest neighbours and their distance in Å.
Atoms (fractional coordinates):
Pr 0.9986 0.9973 0.4981  2 Pr 3.27, 12 Ag 3.29
Pu 0.9985 0.4973 0.9982  12 Ag 3.27-3.28, 2 Pu 3.27
Ag 0.4986 0.9973 0.1632  3 Ag 2.82-2.85
Ag 0.4985 0.9973 0.8331  3 Ag 2.82-2.85
Ag 0.4987 0.4973 0.6667  3 Ag 2.85-2.88
Ag 0.4986 0.4973 0.3296  3 Ag 2.85-2.88

---

Entry 9:
First-principles (GGA-PBE) data for a relaxed structure of Pr2Pu2Ag15, as listed in Alexandria via LeMat-Bulk.

Computed properties:
Formation enthalpy at 0 K (eV/atom): -0.03
E (eV/atom): -4.2969
Calculated volume (Å³/atom): 21.246

a b c (Å): 7.4503 7.4503 7.4503
angles (deg): 82.45 82.45 82.45
Last column: nearest neighbours and their distance in Å.
Atoms (fractional coordinates):
Pr 0.3459 0.3459 0.3459  15 Ag 3.40-3.78, 1 Pu 3.61
Pr 0.6541 0.6541 0.6541  15 Ag 3.40-3.78, 1 Pu 3.61
Pu 0.0969 0.0969 0.0969  1 Pu 2.81, 3 Ag 3.01
Pu 0.9031 0.9031 0.9031  1 Pu 2.81, 3 Ag 3.01
Ag 0.5000 0.0000 0.0000  8 Ag 2.86-2.89, 2 Pu 3.01
Ag 0.0000 0.0000 0.5000  8 Ag 2.86-2.89, 2 Pu 3.01
Ag 0.0000 0.5000 0.0000  8 Ag 2.86-2.89, 2 Pu 3.01
Ag 0.0000 0.6904 0.3096  8 Ag 2.86-3.04
Ag 0.6904 0.3096 0.0000  8 Ag 2.86-3.04
Ag 0.3096 0.0000 0.6904  8 Ag 2.86-3.04
Ag 0.3096 0.6904 0.0000  8 Ag 2.86-3.04
Ag 0.6904 0.0000 0.3096  8 Ag 2.86-3.04
Ag 0.0000 0.3096 0.6904  8 Ag 2.86-3.04
Ag 0.1628 0.6477 0.6477  8 Ag 2.78-3.04
Ag 0.6477 0.6477 0.1628  8 Ag 2.78-3.04
Ag 0.6477 0.1628 0.6477  8 Ag 2.78-3.04
Ag 0.8372 0.3523 0.3523  8 Ag 2.78-3.04
Ag 0.3523 0.3523 0.8372  8 Ag 2.78-3.04
Ag 0.3523 0.8372 0.3523  8 Ag 2.78-3.04

---

Entry 10:
First-principles (GGA-PBE) data for a relaxed structure of PrPuAgRh, as listed in Alexandria via LeMat-Bulk.

Computed properties:
Formation enthalpy at 0 K (eV/atom): -0.24
E (eV/atom): -7.5719
Calculated volume (Å³/atom): 23.478

a b c (Å): 5.1021 5.1021 5.1021
angles (deg): 60.00 60.00 60.00
Last column: nearest neighbours and their distance in Å.
Atoms (fractional coordinates):
Pr 0.5000 0.5000 0.5000  4 Rh 3.12, 4 Ag 3.12
Rh 0.7500 0.7500 0.7500  4 Pr 3.12, 4 Pu 3.12
Ag 0.2500 0.2500 0.2500  4 Pr 3.12, 4 Pu 3.12
Pu 0.0000 0.0000 0.0000  4 Ag 3.12, 4 Rh 3.12

---

Entry 11:
First-principles (GGA-PBE) data for a relaxed structure of PrPuAgRu, as listed in Alexandria via LeMat-Bulk.

Computed properties:
Formation enthalpy at 0 K (eV/atom): -0.01
E (eV/atom): -7.8182
Calculated volume (Å³/atom): 23.018

a b c (Å): 5.0685 5.0685 5.0685
angles (deg): 60.00 60.00 60.00
Last column: nearest neighbours and their distance in Å.
Atoms (fractional coordinates):
Pr 0.2500 0.2500 0.2500  4 Ru 3.10, 4 Ag 3.10
Ru 0.0000 0.0000 0.0000  4 Pr 3.10, 4 Pu 3.10
Ag 0.5000 0.5000 0.5000  4 Pu 3.10, 4 Pr 3.10
Pu 0.7500 0.7500 0.7500  4 Ag 3.10, 4 Ru 3.10

---

Entry 12:
First-principles (GGA-PBE) data for a relaxed structure of PrPuSiAg, as listed in Alexandria via LeMat-Bulk.

Computed properties:
E (eV/atom): -7.0742
Calculated volume (Å³/atom): 24.562
E_form (uncorrected) (eV per atom): -0.23

a b c (Å): 5.1794 5.1794 5.1794
angles (deg): 60.00 60.00 60.00
Last column: nearest neighbours and their distance in Å.
Atoms (fractional coordinates):
Pr 0.0000 0.0000 0.0000  4 Ag 3.17, 4 Si 3.17
Si 0.2500 0.2500 0.2500  4 Pr 3.17, 4 Pu 3.17
Ag 0.7500 0.7500 0.7500  4 Pr 3.17, 4 Pu 3.17
Pu 0.5000 0.5000 0.5000  4 Si 3.17, 4 Ag 3.17